[1]
Hg3BiN (PBE, relaxed); raw formation energy = 1.13 eV per atom; magnetic moment = 2.77 μB per formula unit; energy above the most stable polymorph in this dataset = 670 meV/atom; total energy = -7.5 eV per cell
1.0
-5.998 -0.329 -0.896
0.120 -5.916 1.370
-0.947 1.335 5.849
N Hg Bi
1 3 1
Cartesian
-3.412 -2.455 3.161 N
-2.999 -0.164 -0.448 Hg
-0.473 0.668 2.924 Hg
0.060 -2.958 0.685 Hg
0.000 0.000 0.000 Bi

=====

[2]
Hg4BiN2 (PBE, relaxed); raw formation energy = 0.72 eV per atom; magnetic moment = 0.00 μB per formula unit; total energy = -16.7 eV per cell
1.0
-0.528 -0.847 -3.687
10.866 -4.282 -10.492
4.046 -5.465 -3.301
N Hg Bi
2 4 1
Cartesian
9.963 -6.083 -11.927 N
4.421 -4.511 -5.553 N
8.428 -4.555 -8.098 Hg
5.956 -6.039 -9.382 Hg
10.660 -8.045 -11.584 Hg
3.724 -2.548 -5.896 Hg
0.000 0.000 0.000 Bi

=====

[3]
Hg2BiN (PBE, relaxed); raw formation energy = 1.34 eV per atom; magnetic moment = 0.00 μB per formula unit; energy above the most stable polymorph in this dataset = 723 meV/atom; total energy = -7.4 eV per cell
1.0
-0.939 -4.167 -2.591
-3.899 -2.876 1.221
-3.979 -0.225 -3.013
Hg N Bi
2 1 1
Cartesian
-2.204 -1.817 -1.096 Hg
-6.613 -5.451 -3.287 Hg
0.000 0.000 0.000 N
-4.409 -3.634 -2.191 Bi

=====

[4]
HgBi2N (PBE, relaxed); raw formation energy = 1.07 eV per atom; magnetic moment = 1.09 μB per formula unit; energy above the most stable polymorph in this dataset = 608 meV/atom; total energy = -12.1 eV per cell
1.0
0.000 3.576 3.576
3.576 0.000 3.576
3.576 3.576 0.000
Hg Bi N
1 2 1
Cartesian
3.576 3.576 3.576 Hg
1.788 1.788 1.788 Bi
5.364 5.364 5.364 Bi
0.000 0.000 0.000 N

=====

[5]
HgBiN2 (PBE, relaxed); raw formation energy = 1.48 eV per atom; magnetic moment = 0.00 μB per formula unit; energy above the most stable polymorph in this dataset = 1345 meV/atom; total energy = -14.9 eV per cell
1.0
-5.848 3.705 1.610
-6.421 0.555 2.997
-4.472 2.887 4.710
Hg N Bi
1 2 1
Cartesian
-8.370 3.573 4.658 Hg
-14.833 6.332 8.255 N
-1.907 0.814 1.061 N
0.000 0.000 0.000 Bi

=====

[6]
HgBiN2 (PBE, relaxed); raw formation energy = 1.61 eV per atom; magnetic moment = 1.13 μB per formula unit; energy above the most stable polymorph in this dataset = 1475 meV/atom; total energy = -14.4 eV per cell
1.0
0.780 0.025 4.367
-3.012 -1.663 2.800
0.815 -3.805 2.130
N Bi Hg
2 1 1
Cartesian
-1.063 -4.082 6.972 N
-0.354 -1.361 2.324 N
-0.709 -2.721 4.648 Bi
0.000 0.000 0.000 Hg